Record 1
CaSiNiRh2 after structural relaxation, computed with PBE.

The structure in CIF format:
```
data_CaSiNiRh2
_cell_length_a 4.548
_cell_length_b 4.548
_cell_length_c 4.748
_cell_angle_alpha 90.00
_cell_angle_beta 90.00
_cell_angle_gamma 90.00
_symmetry_space_group_name_H-M 'P 4/m m m'
_symmetry_Int_Tables_number 123
_symmetry_space_group_name_Hall '-P 4 2'
loop_
_atom_site_label
_atom_site_type_symbol
_atom_site_fract_x
_atom_site_fract_y
_atom_site_fract_z
_atom_site_occupancy
Ca1 Ca 0.000 0.000 0.000 1
Si1 Si 0.500 0.500 0.000 1
Ni1 Ni 0.000 0.000 0.500 1
Rh1 Rh 0.000 0.500 0.500 1
```

**Total energy**: -4.92 eV per atom
**Size of the total moment**: 1.17 μB per formula unit
**Calculated volume**: 98.2 Å³/cell



Record 2
LaInTc3 after structural relaxation, computed with PBE.

The structure in CIF format:
```
data_LaInTc3
_cell_length_a 4.893
_cell_length_b 4.893
_cell_length_c 4.893
_cell_angle_alpha 90.00
_cell_angle_beta 90.00
_cell_angle_gamma 90.00
_symmetry_space_group_name_H-M 'P m -3 m'
_symmetry_Int_Tables_number 221
_symmetry_space_group_name_Hall '-P 4 2 3'
loop_
_atom_site_label
_atom_site_type_symbol
_atom_site_fract_x
_atom_site_fract_y
_atom_site_fract_z
_atom_site_occupancy
La1 La 0.000 0.000 0.000 1
In1 In 0.500 0.500 0.500 1
Tc1 Tc 0.000 0.000 0.500 1
```

**Size of the total moment**: 5.39 μB per formula unit
**ΔH_f (0 K)**: 189.8 kJ/mol of atoms
**Polymorph energy (0 for the lowest one)**: 0.417 eV/atom
**Calculated volume**: 117.2 Å³/cell



Record 3
LiSi2Cl after structural relaxation, computed with PBE.

The structure in CIF format:
```
data_LiSi2Cl
_cell_length_a 3.807
_cell_length_b 3.811
_cell_length_c 6.948
_cell_angle_alpha 75.16
_cell_angle_beta 74.86
_cell_angle_gamma 60.18
_symmetry_space_group_name_H-M 'P 1'
_symmetry_Int_Tables_number 1
loop_
_symmetry_equiv_pos_as_xyz
'x,y,z'
loop_
_atom_site_label
_atom_site_type_symbol
_atom_site_fract_x
_atom_site_fract_y
_atom_site_fract_z
_atom_site_occupancy
Li1 Li 0.000 0.000 0.000 1
Si1 Si 0.210 0.194 0.353 1
Si2 Si 0.840 0.827 0.464 1
Cl1 Cl 0.716 0.711 0.846 1
```

**Size of the total moment**: 0.00 μB per formula unit
**Polymorph energy (0 for the lowest one)**: 0.128 eV/atom
**Calculated volume**: 83.5 Å³/cell



Record 4
Nd6Co2CuI3 after structural relaxation, computed with PBE.

The structure in CIF format:
```
data_Nd6Co2CuI3
_cell_length_a 7.162
_cell_length_b 12.404
_cell_length_c 8.437
_cell_angle_alpha 90.00
_cell_angle_beta 106.42
_cell_angle_gamma 90.00
_symmetry_space_group_name_H-M 'C 1 2/m 1'
_symmetry_Int_Tables_number 12
loop_
_symmetry_equiv_pos_as_xyz
'x,y,z'
'-x,-y,-z'
'-x,y,-z'
'x,-y,z'
'x+1/2,y+1/2,z'
'-x+1/2,-y+1/2,-z'
'-x+1/2,y+1/2,-z'
'x+1/2,-y+1/2,z'
loop_
_atom_site_label
_atom_site_type_symbol
_atom_site_fract_x
_atom_site_fract_y
_atom_site_fract_z
_atom_site_occupancy
Nd1 Nd 0.209 0.000 0.183 1
Nd2 Nd 0.238 0.324 0.185 1
Co1 Co 0.000 0.167 0.000 1
Cu1 Cu 0.000 0.500 0.000 1
I1 I 0.000 0.000 0.500 1
I2 I 0.000 0.335 0.500 1
```

**Total energy**: -4.87 eV per atom
**Size of the total moment**: 0.00 μB per formula unit
**Calculated volume**: 718.9 Å³/cell



Record 5
TiIn2Ag2O6 after structural relaxation, computed with PBE.

The structure in CIF format:
```
data_TiIn2Ag2O6
_cell_length_a 5.627
_cell_length_b 9.487
_cell_length_c 6.386
_cell_angle_alpha 90.00
_cell_angle_beta 113.73
_cell_angle_gamma 90.00
_symmetry_space_group_name_H-M 'C 1 2/m 1'
_symmetry_Int_Tables_number 12
loop_
_symmetry_equiv_pos_as_xyz
'x,y,z'
'-x,-y,-z'
'-x,y,-z'
'x,-y,z'
'x+1/2,y+1/2,z'
'-x+1/2,-y+1/2,-z'
'-x+1/2,y+1/2,-z'
'x+1/2,-y+1/2,z'
loop_
_atom_site_label
_atom_site_type_symbol
_atom_site_fract_x
_atom_site_fract_y
_atom_site_fract_z
_atom_site_occupancy
Ti1 Ti 0.000 0.000 0.000 1
In1 In 0.000 0.335 0.000 1
Ag1 Ag 0.000 0.188 0.500 1
O1 O 0.215 0.000 0.811 1
O2 O 0.238 0.155 0.183 1
```

**Total energy**: -5.85 eV per atom
**Size of the total moment**: 0.00 μB per formula unit
**Calculated volume**: 312.0 Å³/cell



Record 6
RuCl4 after structural relaxation, computed with PBE.

The structure in CIF format:
```
data_RuCl4
_cell_length_a 6.123
_cell_length_b 6.123
_cell_length_c 7.491
_cell_angle_alpha 90.00
_cell_angle_beta 90.00
_cell_angle_gamma 90.00
_symmetry_space_group_name_H-M 'I 4/m m m'
_symmetry_Int_Tables_number 139
_symmetry_space_group_name_Hall '-I 4 2'
loop_
_atom_site_label
_atom_site_type_symbol
_atom_site_fract_x
_atom_site_fract_y
_atom_site_fract_z
_atom_site_occupancy
Ru1 Ru 0.000 0.000 0.000 1
Cl1 Cl 0.000 0.000 0.291 1
Cl2 Cl 0.000 0.500 0.250 1
```

**Total energy**: -2.75 eV per atom
**Size of the total moment**: 2.08 μB per formula unit
**Calculated volume**: 280.9 Å³/cell



Record 7
LaCrP after structural relaxation, computed with PBE.

The structure in CIF format:
```
data_LaCrP
_cell_length_a 6.571
_cell_length_b 6.571
_cell_length_c 6.571
_cell_angle_alpha 90.00
_cell_angle_beta 90.00
_cell_angle_gamma 90.00
_symmetry_space_group_name_H-M 'F -4 3 m'
_symmetry_Int_Tables_number 216
_symmetry_space_group_name_Hall 'F -4 2 3'
loop_
_atom_site_label
_atom_site_type_symbol
_atom_site_fract_x
_atom_site_fract_y
_atom_site_fract_z
_atom_site_occupancy
La1 La 0.000 0.000 0.000 1
Cr1 Cr 0.000 0.000 0.500 1
P1 P 0.250 0.250 0.250 1
```

**Size of the total moment**: 4.04 μB per formula unit
**ΔH_f (0 K)**: -31.4 kJ/mol of atoms
**Calculated volume**: 283.7 Å³/cell



Record 8
SbPt2Br after structural relaxation, computed with PBE.

The structure in CIF format:
```
data_SbPt2Br
_cell_length_a 3.877
_cell_length_b 3.877
_cell_length_c 10.799
_cell_angle_alpha 90.00
_cell_angle_beta 90.00
_cell_angle_gamma 90.00
_symmetry_space_group_name_H-M 'I -4 m 2'
_symmetry_Int_Tables_number 119
_symmetry_space_group_name_Hall 'I -4 -2'
loop_
_atom_site_label
_atom_site_type_symbol
_atom_site_fract_x
_atom_site_fract_y
_atom_site_fract_z
_atom_site_occupancy
Sb1 Sb 0.000 0.000 0.000 1
Pt1 Pt 0.000 0.000 0.500 1
Pt2 Pt 0.000 0.500 0.250 1
Br1 Br 0.000 0.500 0.750 1
```

**Size of the total moment**: 0.00 μB per formula unit
**Polymorph energy (0 for the lowest one)**: 0.503 eV/atom
**Calculated volume**: 162.3 Å³/cell



Question: Which value of calculated volume does entry 4 give?
Answer: 718.9 Å³/cell



Please write out number 6 again, unchanged.
RuCl4 after structural relaxation, computed with PBE.

The structure in CIF format:
```
data_RuCl4
_cell_length_a 6.123
_cell_length_b 6.123
_cell_length_c 7.491
_cell_angle_alpha 90.00
_cell_angle_beta 90.00
_cell_angle_gamma 90.00
_symmetry_space_group_name_H-M 'I 4/m m m'
_symmetry_Int_Tables_number 139
_symmetry_space_group_name_Hall '-I 4 2'
loop_
_atom_site_label
_atom_site_type_symbol
_atom_site_fract_x
_atom_site_fract_y
_atom_site_fract_z
_atom_site_occupancy
Ru1 Ru 0.000 0.000 0.000 1
Cl1 Cl 0.000 0.000 0.291 1
Cl2 Cl 0.000 0.500 0.250 1
```

**Total energy**: -2.75 eV per atom
**Size of the total moment**: 2.08 μB per formula unit
**Calculated volume**: 280.9 Å³/cell